Version 1
A plane-wave DFT calculation with PBE was carried out for an optimized crystal structure of NaMnAs2Se.

Geometry as CIF:
```
data_NaMnAs2Se
_chemical_formula_sum 'Na1 Mn1 As2 Se1'
_cell_length_a 4.984
_cell_length_b 4.984
_cell_length_c 5.055
_cell_angle_alpha 90.00
_cell_angle_beta 90.00
_cell_angle_gamma 90.00
_symmetry_space_group_name_H-M 'P 1'
_symmetry_Int_Tables_number 1
loop_
_symmetry_equiv_pos_as_xyz
'x,y,z'
loop_
_atom_site_label
_atom_site_type_symbol
_atom_site_fract_x
_atom_site_fract_y
_atom_site_fract_z
_atom_site_occupancy
Na1 Na 0.000 0.000 0.000 1
As1 As 0.000 0.500 0.000 1
As2 As 0.500 0.000 0.000 1
Mn1 Mn 0.500 0.500 0.500 1
Se1 Se 0.000 0.000 0.500 1
```

## Properties
Spin magnetization: 4.14 μB/f.u.
Symmetry: P4/mmm (123)
Fermi-level density of states: 3.7 states/eV per cell

Version 2
A plane-wave DFT calculation with PBE was carried out for an optimized crystal structure of NaMnAs2Se.

Geometry as CIF:
```
data_NaMnAs2Se
_chemical_formula_sum 'Na1 Mn1 As2 Se1'
_cell_length_a 4.658
_cell_length_b 4.658
_cell_length_c 5.212
_cell_angle_alpha 90.00
_cell_angle_beta 90.00
_cell_angle_gamma 90.00
_symmetry_space_group_name_H-M 'P 1'
_symmetry_Int_Tables_number 1
loop_
_symmetry_equiv_pos_as_xyz
'x,y,z'
loop_
_atom_site_label
_atom_site_type_symbol
_atom_site_fract_x
_atom_site_fract_y
_atom_site_fract_z
_atom_site_occupancy
Na1 Na 0.500 0.500 0.500 1
As1 As 0.000 0.500 0.000 1
As2 As 0.500 0.000 0.000 1
Mn1 Mn 0.000 0.000 0.000 1
Se1 Se 0.000 0.000 0.500 1
```

## Properties
Spin magnetization: 2.19 μB/f.u.
Symmetry: P4/mmm (123)
Fermi-level density of states: 2.1 states/eV per cell

Energy comparison, zero being the most stable, in kJ/mol of atoms: version 1 103.6; version 2 0.0.

Version 1
A plane-wave DFT calculation with PBE was carried out for an optimized crystal structure of MnNb3As.

Geometry as CIF:
```
data_MnNb3As
_chemical_formula_sum 'Mn1 Nb3 As1'
_cell_length_a 4.600
_cell_length_b 4.600
_cell_length_c 4.600
_cell_angle_alpha 90.00
_cell_angle_beta 90.00
_cell_angle_gamma 90.00
_symmetry_space_group_name_H-M 'P 1'
_symmetry_Int_Tables_number 1
loop_
_symmetry_equiv_pos_as_xyz
'x,y,z'
loop_
_atom_site_label
_atom_site_type_symbol
_atom_site_fract_x
_atom_site_fract_y
_atom_site_fract_z
_atom_site_occupancy
Nb1 Nb 0.000 0.500 0.000 1
Nb2 Nb 0.000 0.000 0.500 1
Nb3 Nb 0.500 0.000 0.000 1
Mn1 Mn 0.000 0.000 0.000 1
As1 As 0.500 0.500 0.500 1
```

## Properties
Spin magnetization: 0.00 μB/f.u.
Symmetry: Pm-3m (221)
Fermi-level density of states: 6.5 states/eV per cell

Version 2
A plane-wave DFT calculation with PBE was carried out for an optimized crystal structure of MnNb3As.

Geometry as CIF:
```
data_MnNb3As
_chemical_formula_sum 'Mn1 Nb3 As1'
_cell_length_a 4.705
_cell_length_b 4.705
_cell_length_c 4.705
_cell_angle_alpha 90.00
_cell_angle_beta 90.00
_cell_angle_gamma 90.00
_symmetry_space_group_name_H-M 'P 1'
_symmetry_Int_Tables_number 1
loop_
_symmetry_equiv_pos_as_xyz
'x,y,z'
loop_
_atom_site_label
_atom_site_type_symbol
_atom_site_fract_x
_atom_site_fract_y
_atom_site_fract_z
_atom_site_occupancy
Nb1 Nb 0.000 0.500 0.000 1
Nb2 Nb 0.000 0.000 0.500 1
Nb3 Nb 0.500 0.000 0.000 1
Mn1 Mn 0.500 0.500 0.500 1
As1 As 0.000 0.000 0.000 1
```

## Properties
Spin magnetization: 0.46 μB/f.u.
Symmetry: Pm-3m (221)
Fermi-level density of states: 10.7 states/eV per cell

Energy comparison, zero being the most stable, in kJ/mol of atoms: version 1 0.0; version 2 49.1.

Version 1
A plane-wave DFT calculation with PBE was carried out for an optimized crystal structure of MnNbAsSe2.

Geometry as CIF:
```
data_MnNbAsSe2
_chemical_formula_sum 'Mn1 Nb1 As1 Se2'
_cell_length_a 4.906
_cell_length_b 4.906
_cell_length_c 4.966
_cell_angle_alpha 90.00
_cell_angle_beta 90.00
_cell_angle_gamma 90.00
_symmetry_space_group_name_H-M 'P 1'
_symmetry_Int_Tables_number 1
loop_
_symmetry_equiv_pos_as_xyz
'x,y,z'
loop_
_atom_site_label
_atom_site_type_symbol
_atom_site_fract_x
_atom_site_fract_y
_atom_site_fract_z
_atom_site_occupancy
Nb1 Nb 0.000 0.000 0.000 1
Mn1 Mn 0.500 0.500 0.500 1
As1 As 0.000 0.000 0.500 1
Se1 Se 0.000 0.500 0.000 1
Se2 Se 0.500 0.000 0.000 1
```

## Properties
Spin magnetization: 5.04 μB/f.u.
Symmetry: P4/mmm (123)
Fermi-level density of states: 2.4 states/eV per cell

Version 2
A plane-wave DFT calculation with PBE was carried out for an optimized crystal structure of MnNbAsSe2.

Geometry as CIF:
```
data_MnNbAsSe2
_chemical_formula_sum 'Mn1 Nb1 As1 Se2'
_cell_length_a 4.637
_cell_length_b 4.637
_cell_length_c 4.513
_cell_angle_alpha 90.00
_cell_angle_beta 90.00
_cell_angle_gamma 90.00
_symmetry_space_group_name_H-M 'P 1'
_symmetry_Int_Tables_number 1
loop_
_symmetry_equiv_pos_as_xyz
'x,y,z'
loop_
_atom_site_label
_atom_site_type_symbol
_atom_site_fract_x
_atom_site_fract_y
_atom_site_fract_z
_atom_site_occupancy
Nb1 Nb 0.500 0.500 0.500 1
Mn1 Mn 0.000 0.000 0.000 1
As1 As 0.000 0.000 0.500 1
Se1 Se 0.000 0.500 0.000 1
Se2 Se 0.500 0.000 0.000 1
```

## Properties
Spin magnetization: 0.00 μB/f.u.
Symmetry: P4/mmm (123)
Fermi-level density of states: 10.0 states/eV per cell

Energy comparison, zero being the most stable, in kJ/mol of atoms: version 1 0.0; version 2 32.3.

Version 1
A plane-wave DFT calculation with PBE was carried out for an optimized crystal structure of MnNb2AsW.

Geometry as CIF:
```
data_MnNb2AsW
_chemical_formula_sum 'Mn1 Nb2 As1 W1'
_cell_length_a 4.872
_cell_length_b 4.670
_cell_length_c 4.872
_cell_angle_alpha 90.00
_cell_angle_beta 90.00
_cell_angle_gamma 90.00
_symmetry_space_group_name_H-M 'P 1'
_symmetry_Int_Tables_number 1
loop_
_symmetry_equiv_pos_as_xyz
'x,y,z'
loop_
_atom_site_label
_atom_site_type_symbol
_atom_site_fract_x
_atom_site_fract_y
_atom_site_fract_z
_atom_site_occupancy
Nb1 Nb 0.000 0.000 0.500 1
Nb2 Nb 0.500 0.000 0.000 1
Mn1 Mn 0.000 0.500 0.000 1
As1 As 0.500 0.500 0.500 1
W1 W 0.000 0.000 0.000 1
```

## Properties
Spin magnetization: 2.56 μB/f.u.
Symmetry: P4/mmm (123)
Fermi-level density of states: 4.4 states/eV per cell

Version 2
A plane-wave DFT calculation with PBE was carried out for an optimized crystal structure of MnNb2AsW.

Geometry as CIF:
```
data_MnNb2AsW
_chemical_formula_sum 'Mn1 Nb2 As1 W1'
_cell_length_a 4.755
_cell_length_b 4.221
_cell_length_c 4.755
_cell_angle_alpha 90.00
_cell_angle_beta 90.00
_cell_angle_gamma 90.00
_symmetry_space_group_name_H-M 'P 1'
_symmetry_Int_Tables_number 1
loop_
_symmetry_equiv_pos_as_xyz
'x,y,z'
loop_
_atom_site_label
_atom_site_type_symbol
_atom_site_fract_x
_atom_site_fract_y
_atom_site_fract_z
_atom_site_occupancy
Nb1 Nb 0.000 0.000 0.500 1
Nb2 Nb 0.500 0.000 0.000 1
Mn1 Mn 0.000 0.500 0.000 1
As1 As 0.000 0.000 0.000 1
W1 W 0.500 0.500 0.500 1
```

## Properties
Spin magnetization: 2.84 μB/f.u.
Symmetry: P4/mmm (123)
Fermi-level density of states: 4.6 states/eV per cell

Energy comparison, zero being the most stable, in kJ/mol of atoms: version 1 41.6; version 2 0.0.

Version 1
A plane-wave DFT calculation with PBE was carried out for an optimized crystal structure of MnNiAs2.

Geometry as CIF:
```
data_MnNiAs2
_chemical_formula_sum 'Mn1 Ni1 As2'
_cell_length_a 6.303
_cell_length_b 6.303
_cell_length_c 6.303
_cell_angle_alpha 153.90
_cell_angle_beta 146.27
_cell_angle_gamma 43.14
_symmetry_space_group_name_H-M 'P 1'
_symmetry_Int_Tables_number 1
loop_
_symmetry_equiv_pos_as_xyz
'x,y,z'
loop_
_atom_site_label
_atom_site_type_symbol
_atom_site_fract_x
_atom_site_fract_y
_atom_site_fract_z
_atom_site_occupancy
As1 As 0.045 0.045 0.000 1
As2 As 0.790 0.290 0.500 1
Mn1 Mn 0.438 0.438 0.000 1
Ni1 Ni 0.226 0.726 0.500 1
```

## Properties
Spin magnetization: 3.04 μB/f.u.
Symmetry: Imm2 (44)
Fermi-level density of states: 2.4 states/eV per cell

Version 2
A plane-wave DFT calculation with PBE was carried out for an optimized crystal structure of MnNiAs2.

Geometry as CIF:
```
data_MnNiAs2
_chemical_formula_sum 'Mn1 Ni1 As2'
_cell_length_a 7.092
_cell_length_b 7.092
_cell_length_c 7.092
_cell_angle_alpha 27.22
_cell_angle_beta 27.22
_cell_angle_gamma 27.22
_symmetry_space_group_name_H-M 'P 1'
_symmetry_Int_Tables_number 1
loop_
_symmetry_equiv_pos_as_xyz
'x,y,z'
loop_
_atom_site_label
_atom_site_type_symbol
_atom_site_fract_x
_atom_site_fract_y
_atom_site_fract_z
_atom_site_occupancy
As1 As 0.019 0.019 0.019 1
As2 As 0.236 0.236 0.236 1
Mn1 Mn 0.497 0.497 0.497 1
Ni1 Ni 0.748 0.748 0.748 1
```

## Properties
Spin magnetization: 2.95 μB/f.u.
Symmetry: R3m (160)
Fermi-level density of states: 2.7 states/eV per cell

Energy comparison, zero being the most stable, in kJ/mol of atoms: version 1 0.0; version 2 16.8.

Version 1
A plane-wave DFT calculation with PBE was carried out for an optimized crystal structure of MnNiAs2.

Geometry as CIF:
```
data_MnNiAs2
_chemical_formula_sum 'Mn1 Ni1 As2'
_cell_length_a 4.444
_cell_length_b 4.444
_cell_length_c 2.943
_cell_angle_alpha 89.94
_cell_angle_beta 89.94
_cell_angle_gamma 91.27
_symmetry_space_group_name_H-M 'P 1'
_symmetry_Int_Tables_number 1
loop_
_symmetry_equiv_pos_as_xyz
'x,y,z'
loop_
_atom_site_label
_atom_site_type_symbol
_atom_site_fract_x
_atom_site_fract_y
_atom_site_fract_z
_atom_site_occupancy
As1 As 0.000 0.000 0.000 1
As2 As 0.500 0.500 0.000 1
Mn1 Mn 0.500 0.000 0.500 1
Ni1 Ni 0.000 0.500 0.500 1
```

## Properties
Spin magnetization: 3.36 μB/f.u.
Symmetry: Cmmm (65)
Fermi-level density of states: 2.1 states/eV per cell

Version 2
A plane-wave DFT calculation with PBE was carried out for an optimized crystal structure of MnNiAs2.

Geometry as CIF:
```
data_MnNiAs2
_chemical_formula_sum 'Mn2 Ni2 As4'
_cell_length_a 6.090
_cell_length_b 6.090
_cell_length_c 5.884
_cell_angle_alpha 58.83
_cell_angle_beta 58.83
_cell_angle_gamma 90.00
_symmetry_space_group_name_H-M 'P 1'
_symmetry_Int_Tables_number 1
loop_
_symmetry_equiv_pos_as_xyz
'x,y,z'
loop_
_atom_site_label
_atom_site_type_symbol
_atom_site_fract_x
_atom_site_fract_y
_atom_site_fract_z
_atom_site_occupancy
Ni1 Ni 0.000 0.000 0.000 1
Ni2 Ni 0.750 0.250 0.500 1
As1 As 0.645 0.125 0.250 1
As2 As 0.105 0.625 0.250 1
As3 As 0.375 0.355 0.750 1
As4 As 0.875 0.895 0.750 1
Mn1 Mn 0.500 0.500 0.000 1
Mn2 Mn 0.250 0.750 0.500 1
```

## Properties
Spin magnetization: 3.10 μB/f.u.
Symmetry: I-42d (122)
Fermi-level density of states: 6.1 states/eV per cell

Energy comparison, zero being the most stable, in kJ/mol of atoms: version 1 0.0; version 2 11.5.